(1)
A geometry-optimized CrHg3Pd12 structure, computed with GGA-PBE.

Calculated values
formation energy	-0.096	eV per atom

a b c (Å): 3.992 3.992 16.263
angles (deg): 90.00 90.00 90.00
Atoms (fractional coordinates):
Cr 0.000 0.000 0.000
Hg 0.000 0.000 0.245
Hg 0.000 0.000 0.500
Hg 0.000 0.000 0.755
Pd 0.000 0.500 0.115
Pd 0.000 0.500 0.372
Pd 0.000 0.500 0.628
Pd 0.000 0.500 0.885
Pd 0.500 0.000 0.115
Pd 0.500 0.000 0.372
Pd 0.500 0.000 0.628
Pd 0.500 0.000 0.885
Pd 0.500 0.500 0.000
Pd 0.500 0.500 0.243
Pd 0.500 0.500 0.500
Pd 0.500 0.500 0.757

***

(2)
A geometry-optimized Ac2PrAg structure, computed with GGA-PBE.

Calculated values
formation energy	-0.108	eV per atom
energy above the most stable polymorph in this dataset	0	meV/atom

a b c (Å): 3.943 3.943 9.304
angles (deg): 90.00 90.00 90.00
Atoms (fractional coordinates):
Ac 0.000 0.000 0.214
Ac 0.000 0.000 0.786
Pr 0.500 0.500 0.500
Ag 0.500 0.500 0.000

***

(3)
A geometry-optimized BaHgMo2N structure, computed with GGA-PBE.

Calculated values
formation energy from raw total energies	2182	meV per atom

a b c (Å): 5.435 5.435 4.629
angles (deg): 90.00 90.00 90.00
Atoms (fractional coordinates):
Ba 0.000 0.000 0.000
Hg 0.500 0.500 0.500
Mo 0.000 0.500 0.500
Mo 0.500 0.000 0.500
N 0.500 0.500 0.000

***

We obtain E_tot values of -4.649 -4.070 -4.261 eV/atom for the records listed above, in that order.
We obtain total moment values of 2.4 0.0 8.3 Bohr magnetons per cell for the records listed above, in that order.